A plane-wave DFT calculation with GGA-PBE was carried out for an optimized crystal structure of Tl7Hg3As.

**E**: -0.0725 hartree per atom
**Energy of formation**: 0.038 eV/atom

a b c (Å): 8.646 10.248 8.157
angles (deg): 90.00 107.19 90.00
Space group Cm (No. 8)
Unique sites:
Tl 0.000 0.000 0.000 x2
Tl 0.022 0.500 0.258 x2
Tl 0.247 0.000 0.757 x2
Tl 0.290 0.249 0.062 x4
Tl 0.499 0.219 0.655 x4
Hg 0.150 0.158 0.370 x4
Hg 0.295 0.500 0.605 x2
As 0.113 0.500 0.933 x2